Record 1
This record from Alexandria describes a relaxed YMoPRh2 crystal. The functional is GGA-PBE.

## Properties
VASP energy, eV for the cell shown: -39.32
E_form, meV per atom: -382
DOS(E_F), states/eV/cell: 3.99

a b c (Å): 4.4638 4.4638 4.5415
angles (deg): 90.00 90.00 90.00
Last column: nearest neighbours and their distance in Å.
Space group P4/mmm (No. 123)
One atom of each set of equivalent atoms:
Y 0.0000 0.0000 0.0000  4 Mo 3.16, 8 Rh 3.18
Mo 0.5000 0.5000 0.0000  2 P 2.27
P 0.5000 0.5000 0.5000  4 Rh 2.23, 2 Mo 2.27
Rh 0.0000 0.5000 0.5000  2 P 2.23


Record 2
This record from Alexandria describes a relaxed MoPRu3 crystal. The functional is GGA-PBE.

## Properties
Excess energy over the best structure of this formula in the dataset, meV/atom: 0
VASP energy, eV for the cell shown: -41.18
E_form, meV per atom: 577
DOS(E_F), states/eV/cell: 6.22

a b c (Å): 4.3152 4.3152 4.3152
angles (deg): 90.00 90.00 90.00
Last column: nearest neighbours and their distance in Å.
Space group Pm-3m (No. 221)
One atom of each set of equivalent atoms:
Mo 0.0000 0.0000 0.0000  12 Ru 3.05
P 0.5000 0.5000 0.5000  6 Ru 2.16
Ru 0.0000 0.5000 0.5000  2 P 2.16


- The lowest E_form belongs to which entry?
  YMoPRh2


- Which formula does entry 1 have?
  YMoPRh2


- Which of these has the lowest E_form?
  YMoPRh2